(1)
The following is a DFT calculation (GGA-PBEsol) of Tl2TcAs after structural relaxation.

The space group is Fm-3m (No. 225) and the conventional cell measures 6.8417, 6.8417 and 6.8417 Å, with angles of 90.00, 90.00 and 90.00 degrees. Symmetry generates all atoms from Tl at (0.2500, 0.2500, 0.2500), Tc at (0.0000, 0.0000, 0.0000) and As at (0.0000, 0.0000, 0.5000).

As for the total energy: -4.55 eV/atom. The distance to the lowest polymorph of the same formula comes out at 0.43 eV per formula unit. The value obtained for the volume is 20.02 A^3/atom. The crystal system is cubic. For the formation enthalpy at 0 K, the calculation gives 0.8623 eV per atom.

(2)
The following is a DFT calculation (GGA-PBEsol) of BeCu2P after structural relaxation.

The space group is P4mm (No. 99) and the conventional cell measures 2.4960, 2.4960 and 7.1987 Å, with angles of 90.00, 90.00 and 90.00 degrees. Symmetry generates all atoms from Be at (0.0000, 0.0000, 0.0000), Cu at (0.0000, 0.0000, 0.4657), Cu at (0.5000, 0.5000, 0.2072) and P at (0.5000, 0.5000, 0.7436).

As for the total energy: -4.43 eV/atom. The value obtained for the volume is 11.21 A^3/atom. The crystal system is tetragonal. For the formation enthalpy at 0 K, the calculation gives 0.1846 eV per atom.

(3)
The following is a DFT calculation (GGA-PBEsol) of HfZnSe2Br after structural relaxation.

The space group is P4/mmm (No. 123) and the conventional cell measures 5.1080, 5.1080 and 5.2207 Å, with angles of 90.00, 90.00 and 90.00 degrees. Symmetry generates all atoms from Hf at (0.0000, 0.0000, 0.0000), Zn at (0.5000, 0.5000, 0.5000), Se at (0.0000, 0.5000, 0.0000) and Br at (0.0000, 0.0000, 0.5000).

As for the total energy: -4.77 eV/atom. The distance to the lowest polymorph of the same formula comes out at 0.00 eV per formula unit. The value obtained for the volume is 27.24 A^3/atom. The crystal system is tetragonal. The raw formation energy is -0.437 eV/atom.

(4)
The following is a DFT calculation (GGA-PBEsol) of Cr3AsIr after structural relaxation.

The space group is Pm-3m (No. 221) and the conventional cell measures 4.6160, 4.6160 and 4.6160 Å, with angles of 90.00, 90.00 and 90.00 degrees. Symmetry generates all atoms from Cr at (0.0000, 0.0000, 0.5000), As at (0.5000, 0.5000, 0.5000) and Ir at (0.0000, 0.0000, 0.0000).

As for the total energy: -7.82 eV/atom. The value obtained for the volume is 19.67 A^3/atom. The crystal system is cubic. For the formation enthalpy at 0 K, the calculation gives 1.3151 eV per atom.

(5)
The following is a DFT calculation (GGA-PBEsol) of KMnP3O9 after structural relaxation.

The space group is P-6c2 (No. 188) and the conventional cell measures 6.6929, 6.6929 and 10.0108 Å, with angles of 90.00, 90.00 and 120.00 degrees. Symmetry generates all atoms from K at (0.0000, 0.0000, 0.0000), Mn at (0.3333, 0.6667, 0.0000), P at (0.4388, 0.0532, 0.2500), O at (0.0683, 0.4019, 0.1214) and O at (0.4308, 0.1410, 0.7500).

As for the total energy: -7.52 eV/atom. The value obtained for the volume is 13.87 A^3/atom. The crystal system is hexagonal. The raw formation energy is -2.121 eV/atom.

(6)
The following is a DFT calculation (GGA-PBEsol) of LiNdO2 after structural relaxation.

The space group is P2_1/c (No. 14) and the conventional cell measures 6.5253, 6.0908 and 6.7334 Å, with angles of 90.00, 120.73 and 90.00 degrees. Symmetry generates all atoms from Li at (0.1854, 0.1650, 0.2842), Nd at (0.2769, 0.6361, 0.2398), O at (0.0533, 0.6049, 0.8193) and O at (0.4692, 0.1962, 0.8562).

As for the total energy: -7.20 eV/atom. The value obtained for the volume is 14.38 A^3/atom. The crystal system is monoclinic. The raw formation energy is -2.793 eV/atom.